1.
DFT (PBEsol) results for YNiIrO2 after structural relaxation.

Results
Crystal system: tetragonal
Formation energy from raw total energies, eV per atom: 0.287
Space group: No. 123
Density, g cm⁻³: 6.98

```
5
Lattice="4.024 0.000 0.000 0.000 4.024 0.000 0.000 0.000 5.463" Properties=species:S:1:pos:R:3 pbc="T T T"
Y 0.000 0.000 0.000
Ni 0.000 0.000 2.732
Ir 2.012 2.012 2.732
O 0.000 2.012 0.000
O 2.012 0.000 0.000
```

***

2.
DFT (PBEsol) results for Zn2NiIrO6 after structural relaxation.

Results
Crystal system: monoclinic
Formation energy from raw total energies, eV per atom: -0.934
Space group: No. 14
Density, g cm⁻³: 8.28

```
20
Lattice="5.044 0.000 0.000 0.000 5.116 0.000 -5.003 0.000 7.429" Properties=species:S:1:pos:R:3 pbc="T T T"
Zn 0.003 0.223 1.844
Zn -2.498 2.335 5.558
Zn 2.539 2.780 1.871
Zn 0.038 4.893 5.585
Ni -2.501 0.000 3.714
Ni 0.000 2.558 0.000
Ir 2.522 0.000 0.000
Ir 0.021 2.558 3.714
O -4.119 0.962 6.931
O -1.618 1.596 3.217
O -3.410 3.468 6.912
O -0.909 4.206 3.197
O -1.875 0.406 5.560
O 0.626 2.152 1.846
O -0.585 2.963 5.583
O 1.916 4.710 1.869
O 0.950 0.910 4.232
O 3.451 1.648 0.517
O 1.659 3.520 4.212
O 4.160 4.154 0.498
```

***

3.
DFT (PBEsol) results for NiIrOs2 after structural relaxation.

Results
Crystal system: orthorhombic
Formation energy, eV/f.u.: 2.13
Space group: No. 65
Density, g cm⁻³: 19.17

```
4
Lattice="1.335 -2.270 0.000 1.335 2.270 0.000 0.000 0.000 9.024" Properties=species:S:1:pos:R:3 pbc="T T T"
Ni 0.000 0.000 0.000
Ir 0.000 0.000 4.512
Os 1.335 0.000 2.156
Os 1.335 0.000 6.867
```

***

4.
DFT (PBEsol) results for NiIrOs2 after structural relaxation.

Results
Crystal system: tetragonal
Formation energy, eV/f.u.: 0.67
Space group: No. 123
Density, g cm⁻³: 19.92

```
4
Lattice="2.673 0.000 0.000 0.000 2.673 0.000 0.000 0.000 7.365" Properties=species:S:1:pos:R:3 pbc="T T T"
Ni 0.000 0.000 0.000
Ir 0.000 0.000 3.683
Os 1.337 1.337 1.750
Os 1.337 1.337 5.616
```

***

5.
DFT (PBEsol) results for NiIrOs2 after structural relaxation.

Results
Crystal system: orthorhombic
Formation energy, eV/f.u.: 0.31
Space group: No. 25
Density, g cm⁻³: 19.82

```
4
Lattice="2.685 0.000 0.000 0.000 3.729 0.000 0.000 0.000 5.283" Properties=species:S:1:pos:R:3 pbc="T T T"
Ni 0.000 0.000 0.000
Ir 1.343 1.864 4.008
Os 0.000 0.000 2.599
Os 1.343 1.864 1.288
```

***

6.
DFT (PBEsol) results for NiPIr2 after structural relaxation.

Results
Crystal system: orthorhombic
Formation energy, eV/f.u.: -0.72
Space group: No. 38
Density, g cm⁻³: 15.28

```
4
Lattice="3.560 0.000 0.000 0.000 1.386 5.220 0.000 -1.386 5.220" Properties=species:S:1:pos:R:3 pbc="T T T"
Ni 0.000 0.000 0.000
P 1.780 0.000 4.406
Ir 0.000 0.000 2.938
Ir 1.780 0.000 6.649
```

***

7.
DFT (PBEsol) results for NiP2Ir after structural relaxation.

Results
Crystal system: tetragonal
Relative energy among the computed polymorphs, meV per atom: 279
Formation energy, eV/f.u.: -0.53
Space group: No. 99
Density, g cm⁻³: 9.22

```
4
Lattice="2.800 0.000 0.000 0.000 2.800 0.000 0.000 0.000 7.188" Properties=species:S:1:pos:R:3 pbc="T T T"
Ni 0.000 0.000 0.000
P 0.000 0.000 3.884
P 1.400 1.400 1.127
Ir 1.400 1.400 5.239
```

***

8.
DFT (PBEsol) results for NiPIr2 after structural relaxation.

Results
Crystal system: cubic
Formation energy, eV/f.u.: 1.18
Space group: No. 216
Density, g cm⁻³: 14.98

```
4
Lattice="0.000 2.973 2.973 2.973 0.000 2.973 2.973 2.973 0.000" Properties=species:S:1:pos:R:3 pbc="T T T"
Ni 0.000 0.000 0.000
P 4.459 4.459 4.459
Ir 1.486 1.486 1.486
Ir 2.973 2.973 2.973
```